[1]
A plane-wave DFT calculation with GGA-PBE was carried out for a relaxed structure of Na4In3Hg4.

## Properties
**E_form**: -0.16 eV/atom

Lattice parameters (Å, degrees): 3.329 5.065 18.052 97.98 74.20 90.03
Positions (direct):
Hg  0.441  0.187  0.369
Hg  0.559  0.813  0.631
Hg  0.155  0.450  0.902
Hg  0.846  0.550  0.098
Na  0.776  0.908  0.820
Na  0.835  0.722  0.443
Na  0.224  0.092  0.180
Na  0.165  0.278  0.557
In  0.000  0.000  0.000
In  0.416  0.360  0.727
In  0.584  0.640  0.273

[2]
A plane-wave DFT calculation with GGA-PBE was carried out for a relaxed structure of TbNd4Sm2Ho.

## Properties
**E_form**: 0.01 eV/atom

Lattice parameters (Å, degrees): 5.161 5.138 11.449 63.22 90.00 90.00
Positions (direct):
Nd  0.500  0.250  0.750
Nd  0.500  0.750  0.250
Nd  0.000  0.249  0.251
Nd  0.000  0.751  0.749
Ho  0.000  0.500  0.500
Sm  0.000  0.000  0.000
Sm  0.500  0.000  0.500
Tb  0.500  0.500  0.000

[3]
A plane-wave DFT calculation with GGA-PBE was carried out for a relaxed structure of LiHo3In2.

## Properties
**E_form**: -0.33 eV/atom

Lattice parameters (Å, degrees): 5.260 5.260 12.923 90.00 90.00 120.00
Positions (direct):
Ho  0.000  0.000  0.250
Ho  0.333  0.667  0.419
Ho  0.667  0.333  0.581
Ho  0.667  0.333  0.084
Ho  0.000  0.000  0.750
Ho  0.333  0.667  0.916
Li  0.333  0.667  0.671
Li  0.667  0.333  0.329
In  0.000  0.000  0.500
In  0.333  0.667  0.177
In  0.000  0.000  0.000
In  0.667  0.333  0.823

[4]
A plane-wave DFT calculation with GGA-PBE was carried out for a relaxed structure of LiScP2.

## Properties
**E_form**: -0.01 eV/atom

Lattice parameters (Å, degrees): 2.801 2.801 9.143 90.00 90.00 89.97
Positions (direct):
P  0.000  0.000  0.958
P  0.500  0.500  0.284
Li  0.500  0.500  0.777
Sc  0.000  0.000  0.482

[5]
A plane-wave DFT calculation with GGA-PBE was carried out for a relaxed structure of SrPr4Nd.

## Properties
**E_form**: 0.22 eV/atom

Lattice parameters (Å, degrees): 6.967 6.967 6.967 60.00 60.00 60.00
Positions (direct):
Pr  0.116  0.628  0.628
Pr  0.628  0.116  0.628
Pr  0.628  0.628  0.628
Pr  0.628  0.628  0.116
Sr  0.250  0.250  0.250
Nd  0.000  0.000  0.000

[6]
A plane-wave DFT calculation with GGA-PBE was carried out for a relaxed structure of HfTaTc2.

## Properties
**E_form**: -0.51 eV/atom

Lattice parameters (Å, degrees): 3.219 3.219 6.466 90.00 90.00 90.00
Positions (direct):
Tc  0.000  0.000  0.758
Tc  0.000  0.000  0.242
Ta  0.500  0.500  0.000
Hf  0.500  0.500  0.500

[7]
A plane-wave DFT calculation with GGA-PBE was carried out for a relaxed structure of Er6PbSe2S3.

## Properties
**Uncorrected formation energy**: -1600 meV per atom

Lattice parameters (Å, degrees): 3.922 8.227 9.044 104.05 102.52 90.00
Positions (direct):
S  0.834  0.174  0.668
S  0.500  0.500  0.000
S  0.166  0.826  0.332
Er  0.339  0.407  0.677
Er  0.004  0.725  0.008
Er  0.996  0.275  0.992
Er  0.325  0.933  0.650
Er  0.661  0.593  0.323
Er  0.675  0.067  0.350
Se  0.169  0.335  0.339
Se  0.831  0.665  0.661
Pb  0.500  0.000  0.000

[8]
A plane-wave DFT calculation with GGA-PBE was carried out for a relaxed structure of Sr2TaAlHg.

## Properties
**E_form**: 1.02 eV/atom

Lattice parameters (Å, degrees): 6.014 5.244 6.014 90.00 90.00 90.00
Positions (direct):
Ta  0.000  0.000  0.000
Sr  0.500  0.000  0.000
Sr  0.000  0.000  0.500
Hg  0.000  0.500  0.000
Al  0.500  0.500  0.500